VASP calculation (GGA-PBE) on crystalline CoIrRu2 at its relaxed geometry.

```
CoIrRu2
1.0
5.934 0.002 0.002
-2.362 3.961 0.003
1.209 0.718 2.278
Ir Ru Co
1 2 1
Cartesian
1.786 1.982 0.002 Ir
0.000 0.000 0.000 Ru
3.572 0.360 1.140 Ru
-0.576 2.340 1.140 Co
```

Results
Its size of the total moment is 0.18 μB per atom. For the density of states at the Fermi level, the calculation gives 4.72 states/eV/cell. Its final energy is -34.1 eV/f.u.

VASP calculation (GGA-PBE) on crystalline Pm3ScIn3 at its relaxed geometry.

```
Pm3ScIn3
1.0
6.620 0.694 0.204
-2.328 6.236 0.204
-0.465 -0.751 9.636
Pm In Sc
6 6 2
Cartesian
1.411 2.278 6.781 Pm
-0.157 4.892 0.204 Pm
2.417 3.902 3.263 Pm
-0.953 4.865 5.022 Pm
4.450 2.039 0.204 Pm
4.780 1.315 5.022 Pm
4.646 3.385 7.440 In
0.960 5.668 7.440 In
-0.259 -0.418 7.488 In
4.086 6.598 2.556 In
-0.819 2.795 2.605 In
2.867 0.512 2.605 In
1.169 1.888 0.504 Sc
2.658 4.292 9.540 Sc
```

Results
Its size of the total moment is 0.00 μB per atom. For the density of states at the Fermi level, the calculation gives 14.95 states/eV/cell. Its final energy is -30.8 eV/f.u.

VASP calculation (GGA-PBE) on crystalline Tb3Nd2Y5 at its relaxed geometry.

```
Tb3Nd2Y5
1.0
6.852 0.000 0.000
3.426 11.573 2.929
3.426 5.895 10.381
Y Nd Tb
10 4 6
Cartesian
5.139 8.734 6.655 Y
3.426 7.007 4.288 Y
11.991 13.146 10.017 Y
5.139 4.322 3.293 Y
10.278 10.461 9.022 Y
8.565 8.734 6.655 Y
6.852 11.475 7.692 Y
6.852 5.993 5.618 Y
8.565 13.146 10.017 Y
1.713 4.322 3.293 Y
6.852 2.682 0.852 Nd
3.426 1.533 2.360 Nd
6.852 14.786 12.457 Nd
10.278 15.934 10.950 Nd
1.713 0.000 0.000 Tb
10.278 12.323 6.451 Tb
6.852 7.978 3.141 Tb
6.852 9.490 10.169 Tb
3.426 5.145 6.859 Tb
5.139 0.000 0.000 Tb
```

Results
Its size of the total moment is 0.00 μB per atom. The excess energy over the best structure of this formula in the dataset is 0.228 eV per atom. For the density of states at the Fermi level, the calculation gives 33.30 states/eV/cell.

VASP calculation (GGA-PBE) on crystalline MgZr2Cl at its relaxed geometry.

```
MgZr2Cl
1.0
-4.072 -0.511 0.317
-0.200 -0.890 -4.014
-0.629 -11.305 0.428
Zr Cl Mg
4 2 2
Cartesian
-2.074 -9.004 -1.065 Zr
-0.790 -3.446 -2.362 Zr
-4.210 -9.705 -2.916 Zr
-2.729 -3.257 -0.197 Zr
0.000 0.000 0.000 Cl
-3.419 -6.258 -0.552 Cl
-1.483 -6.448 -2.718 Mg
-2.136 -0.701 -1.849 Mg
```

Results
Its size of the total moment is 0.00 μB per atom. Its energy relative to the elements, uncorrected is 0.121 eV/atom. The excess energy over the best structure of this formula in the dataset is 0.609 eV per atom. For the density of states at the Fermi level, the calculation gives 7.06 states/eV/cell.